The following is a DFT calculation (SCAN) of a crystal of ZrCuCl2 relaxed with PBEsol.

Cell and atoms, written as POSCAR:
```
ZrCuCl2
1.0
-2.063 2.063 3.809
2.063 -2.063 3.809
2.063 2.063 -3.809
Zr Cu Cl
1 1 2
Direct
0.000 0.000 0.000
0.500 0.500 0.000
0.250 0.750 0.500
0.750 0.250 0.500
```

The energy above the lowest structure with this stoichiometry is 0 meV per atom. The density of states at the Fermi level is 0.4236 states/eV/atom. The formation energy (no corrections) comes out at -0.460 eV per atom. Its total magnetization is 0.0 μB per formula unit. As for the uncorrected energy: -15.924 eV/atom.